PmNdGaPt | GGA-PBE | optimized geometry

The structure belongs to space group Amm2 (No. 38); the cell edges are 4.3584, 4.1800 and 10.9792 Å and the angles 90.00°, 90.00° and 90.00°. The asymmetric unit holds Pm at (0.0000, 0.0000, 0.0000), Nd at (0.5000, 0.0000, 0.2830), Ga at (0.0000, 0.0000, 0.7118) and Pt at (0.5000, 0.0000, 0.5610).

For the formation energy, the calculation gives -854 meV/atom.

---

BaCeAg10 | GGA-PBE | optimized geometry

The structure belongs to space group Pmmm (No. 47); the cell edges are 4.7031, 5.7428 and 10.0009 Å and the angles 90.00°, 90.00° and 90.00°. The asymmetric unit holds Ba at (0.0000, 0.0000, 0.0000), Ce at (0.0000, 0.5000, 0.5000), Ag at (0.0000, 0.0000, 0.3417), Ag at (0.0000, 0.5000, 0.1777), Ag at (0.5000, 0.0000, 0.5000), Ag at (0.5000, 0.2548, 0.2584) and Ag at (0.5000, 0.5000, 0.0000).

For the formation energy, the calculation gives -93 meV/atom.

---

RbPmSm4S8 | GGA-PBE | optimized geometry

The structure belongs to space group R3m (No. 160, hexagonal axes); the cell edges are 8.4388, 8.4388 and 20.7484 Å and the angles 90.00°, 90.00° and 120.00°. The asymmetric unit holds Rb at (0.0000, 0.0000, 0.0000), Pm at (0.0000, 0.0000, 0.6300), Sm at (0.0000, 0.0000, 0.2509), Sm at (0.1722, 0.3445, 0.4577), S at (0.0000, 0.0000, 0.3830), S at (0.0000, 0.0000, 0.8570), S at (0.0484, 0.5242, 0.3824) and S at (0.1759, 0.3519, 0.2065).

Its formation energy (no corrections) is -182.6 kJ/mol of atoms.

---

PmSmZrN3 | GGA-PBE | optimized geometry

The structure belongs to space group P2_1/m (No. 11); the cell edges are 6.3634, 3.3287 and 9.7992 Å and the angles 90.00°, 93.28° and 90.00°. The asymmetric unit holds Pm at (0.1663, 0.2500, 0.2176), Sm at (0.2177, 0.2500, 0.5754), Zr at (0.3411, 0.7500, 0.8982), N at (0.1336, 0.2500, 0.8362), N at (0.1607, 0.7500, 0.4155) and N at (0.3992, 0.7500, 0.1107).

Its formation energy (no corrections) is -124.3 kJ/mol of atoms.

---

PuUNiOs | GGA-PBE | optimized geometry

The structure belongs to space group F-43m (No. 216); the cell edges are 6.7248, 6.7248 and 6.7248 Å and the angles 90.00°, 90.00° and 90.00°. The asymmetric unit holds Pu at (0.0000, 0.0000, 0.0000), U at (0.0000, 0.0000, 0.5000), Ni at (0.2500, 0.2500, 0.2500) and Os at (0.2500, 0.2500, 0.7500).

For the formation energy, the calculation gives -3 meV/atom.

---

TaOsPb | GGA-PBE | optimized geometry

The structure belongs to space group F-43m (No. 216); the cell edges are 6.3406, 6.3406 and 6.3406 Å and the angles 90.00°, 90.00° and 90.00°. The asymmetric unit holds Ta at (0.0000, 0.0000, 0.0000), Os at (0.2500, 0.2500, 0.7500) and Pb at (0.0000, 0.0000, 0.5000).

For the formation energy, the calculation gives 394 meV/atom.

---

MnBe2Fe | GGA-PBE | optimized geometry

The structure belongs to space group I-4m2 (No. 119); the cell edges are 3.7281, 3.7281 and 5.2488 Å and the angles 90.00°, 90.00° and 90.00°. The asymmetric unit holds Mn at (0.0000, 0.0000, 0.0000), Be at (0.0000, 0.0000, 0.5000), Be at (0.0000, 0.5000, 0.2500) and Fe at (0.0000, 0.5000, 0.7500).

For the formation energy, the calculation gives -139 meV/atom.

---

Fe5Co4Ge | GGA-PBE | optimized geometry

The structure belongs to space group C2/m (No. 12); the cell edges are 12.1147, 4.0234 and 4.9539 Å and the angles 90.00°, 105.91° and 90.00°. The asymmetric unit holds Fe at (0.0000, 0.0000, 0.0000), Fe at (0.1005, 0.5000, 0.9017), Fe at (0.1995, 0.0000, 0.3002), Co at (0.1018, 0.5000, 0.4017), Co at (0.2026, 0.0000, 0.8029) and Ge at (0.0000, 0.0000, 0.5000).

For the formation energy, the calculation gives -96 meV/atom.

---

NaTlP2S | GGA-PBE | optimized geometry

The structure belongs to space group P4/mmm (No. 123); the cell edges are 5.0459, 5.0459 and 5.0488 Å and the angles 90.00°, 90.00° and 90.00°. The asymmetric unit holds Na at (0.0000, 0.0000, 0.0000), Tl at (0.5000, 0.5000, 0.5000), P at (0.0000, 0.5000, 0.0000) and S at (0.0000, 0.0000, 0.5000).

Its formation energy (no corrections) is 96.5 kJ/mol of atoms.

---

KMoAs2 | GGA-PBE | optimized geometry

The structure belongs to space group Cmm2 (No. 35); the cell edges are 3.5345, 4.4621 and 11.3798 Å and the angles 90.00°, 90.00° and 90.00°. The asymmetric unit holds K at (0.0000, 0.0000, 0.0000), Mo at (0.0000, 0.5000, 0.7313), As at (0.0000, 0.0000, 0.5637) and As at (0.0000, 0.5000, 0.2449).

For the formation energy, the calculation gives 545 meV/atom.

---

Ac5As | GGA-PBE | optimized geometry

The structure belongs to space group Cmmm (No. 65); the cell edges are 5.2023, 16.7036 and 5.3105 Å and the angles 90.00°, 90.00° and 90.00°. The asymmetric unit holds Ac at (0.0000, 0.0000, 0.0000), Ac at (0.0000, 0.1569, 0.5000), Ac at (0.0000, 0.3416, 0.0000) and As at (0.0000, 0.5000, 0.5000).

For the formation energy, the calculation gives -159 meV/atom.

---

NaAlPb2I | GGA-PBE | optimized geometry

The structure belongs to space group P4/mmm (No. 123); the cell edges are 5.4160, 5.4160 and 6.3424 Å and the angles 90.00°, 90.00° and 90.00°. The asymmetric unit holds Na at (0.0000, 0.0000, 0.0000), Al at (0.0000, 0.0000, 0.5000), Pb at (0.0000, 0.5000, 0.5000) and I at (0.5000, 0.5000, 0.0000).

Its formation energy (no corrections) is 10.2 kJ/mol of atoms.

---

CdHgS2 | GGA-PBE | optimized geometry

The structure belongs to space group P3m1 (No. 156); the cell edges are 4.0779, 4.0779 and 6.7014 Å and the angles 90.00°, 90.00° and 120.00°. The asymmetric unit holds Cd at (0.0000, 0.0000, 0.0000), Hg at (0.3333, 0.6667, 0.4716), S at (0.3333, 0.6667, 0.8446) and S at (0.6667, 0.3333, 0.2869).

Its formation energy (no corrections) is -27.9 kJ/mol of atoms.